Record 1
Material: DyRuBr
Method: DFT, PBE
State: optimized geometry

symmetry	R-3m, No. 166
E_form (uncorrected)	-0.9673	eV per atom

Cell and atoms, written as extended XYZ:
```
6
Lattice="-0.778 1.608 -3.754 -2.755 -1.833 -2.516 -9.453 6.274 2.345" Properties=species:S:1:pos:R:3 pbc="T T T"
Dy -7.933 4.129 -1.191
Dy -5.053 1.920 -2.734
Ru -5.382 3.151 0.163
Ru -7.604 2.899 -4.088
Br -10.440 5.074 -2.568
Br -2.546 0.975 -1.356
```

Record 2
Material: Dy4RuBr5
Method: DFT, PBE
State: optimized geometry

symmetry	C2/m, No. 12
E_form (uncorrected)	-1.3459	eV per atom

Cell and atoms, written as extended XYZ:
```
10
Lattice="3.971 0.000 0.000 0.000 8.659 -0.428 -1.985 -1.672 9.109" Properties=species:S:1:pos:R:3 pbc="T T T"
Dy 0.000 6.803 6.067
Dy 1.985 5.113 8.748
Dy 1.985 0.184 2.615
Dy 0.000 1.874 -0.066
Ru 1.985 0.000 0.000
Br 1.985 4.680 5.752
Br 1.985 0.254 5.810
Br 0.000 6.733 2.872
Br 1.985 4.329 -0.214
Br 0.000 2.307 2.929
```

no.,density (kg/m3)
1,6724
2,6156